Record 1
GGA-PBE NaZn2Ge, relaxed; SG = R-3m (166); calculated formation energy = 0.067 eV per atom
1.0
2.169 1.252 5.323
-2.169 1.252 5.323
0.000 -2.504 5.323
Na Zn Ge
1 2 1
direct
0.000 0.000 0.000 Na
0.214 0.214 0.214 Zn
0.786 0.786 0.786 Zn
0.500 0.500 0.500 Ge

Record 2
GGA-PBE AuOF3, relaxed; SG = P2_1/c (14); relative energy among the computed polymorphs = 0 meV/atom
1.0
5.283 0.000 0.000
0.000 7.519 0.000
-3.702 0.000 7.784
Au O F
4 4 12
direct
0.038 0.215 0.474 Au
0.038 0.285 0.974 Au
0.962 0.715 0.026 Au
0.962 0.785 0.526 Au
0.358 0.135 0.031 O
0.358 0.365 0.531 O
0.642 0.635 0.469 O
0.642 0.865 0.969 O
0.028 0.223 0.217 F
0.028 0.277 0.717 F
0.237 0.593 0.631 F
0.237 0.907 0.131 F
0.274 0.518 0.075 F
0.274 0.982 0.575 F
0.726 0.018 0.425 F
0.726 0.482 0.925 F
0.763 0.093 0.869 F
0.763 0.407 0.369 F
0.972 0.723 0.283 F
0.972 0.777 0.783 F

Record 3
GGA-PBE PIrF2, relaxed; SG = R-3m (166); relative energy among the computed polymorphs = 205 meV/atom
1.0
1.325 0.765 9.286
-1.325 0.765 9.286
0.000 -1.529 9.286
P Ir F
1 1 2
direct
0.000 0.000 0.000 P
0.500 0.500 0.500 Ir
0.431 0.431 0.431 F
0.569 0.569 0.569 F

Record 4
GGA-PBE RbInBiPb2, relaxed; SG = Imm2 (44); calculated formation energy = -0.108 eV per atom
1.0
-2.607 2.689 6.779
2.607 -2.689 6.779
2.607 2.689 -6.779
Rb In Bi Pb
1 1 1 2
direct
0.000 0.000 0.000 Rb
0.382 0.382 0.000 In
0.249 0.749 0.500 Bi
0.614 0.614 0.000 Pb
0.756 0.256 0.500 Pb

Record 5
GGA-PBE ScTiAg2H, relaxed; SG = P4/mmm (123); E_tot = -3.0939 eV per atom
1.0
5.147 0.000 0.000
0.000 5.147 0.000
0.000 0.000 4.840
Sc Ti Ag H
1 1 2 1
direct
0.000 0.000 0.000 Sc
0.000 0.000 0.500 Ti
0.000 0.500 0.000 Ag
0.500 0.000 0.000 Ag
0.500 0.500 0.500 H

Record 6
GGA-PBE MnV6Si, relaxed; SG = Pm-3 (200); E_tot = -8.9660 eV per atom
1.0
4.682 0.000 0.000
0.000 4.682 0.000
0.000 0.000 4.682
Mn V Si
1 6 1
direct
0.000 0.000 0.000 Mn
0.000 0.246 0.500 V
0.000 0.754 0.500 V
0.246 0.500 0.000 V
0.500 0.000 0.246 V
0.500 0.000 0.754 V
0.754 0.500 0.000 V
0.500 0.500 0.500 Si

Record 7
GGA-PBE TcB3Te, relaxed; SG = Pm-3m (221); relative energy among the computed polymorphs = 1223 meV/atom
1.0
4.365 0.000 0.000
0.000 4.365 0.000
0.000 0.000 4.365
Tc B Te
1 3 1
direct
0.000 0.000 0.000 Tc
0.000 0.500 0.500 B
0.500 0.000 0.500 B
0.500 0.500 0.000 B
0.500 0.500 0.500 Te

Record 8
GGA-PBE Sm2BeGe4Pd3, relaxed; SG = P-4m2 (115); calculated formation energy = -0.695 eV per atom
1.0
4.157 0.000 0.000
0.000 4.157 0.000
0.000 0.000 10.704
Sm Be Ge Pd
2 1 4 3
direct
0.000 0.500 0.240 Sm
0.500 0.000 0.760 Sm
0.500 0.500 0.000 Be
0.000 0.000 0.500 Ge
0.000 0.500 0.870 Ge
0.500 0.000 0.130 Ge
0.500 0.500 0.500 Ge
0.000 0.000 0.000 Pd
0.000 0.500 0.639 Pd
0.500 0.000 0.361 Pd

Record 9
GGA-PBE Pr4Sm2Y3, relaxed; SG = C2/m (12); calculated formation energy = 0.044 eV per atom; relative energy among the computed polymorphs = 0 meV/atom
1.0
8.780 -1.804 0.000
8.780 1.804 0.000
-1.804 0.000 9.771
Pr Sm Y
4 2 3
direct
0.000 0.000 0.169 Pr
0.000 0.000 0.831 Pr
0.164 0.164 0.719 Pr
0.836 0.836 0.281 Pr
0.175 0.175 0.379 Sm
0.825 0.825 0.621 Sm
0.337 0.337 0.955 Y
0.500 0.500 0.500 Y
0.663 0.663 0.045 Y

Record 10
GGA-PBE PmUGa, relaxed; SG = Fmmm (69); calculated formation energy = 0.174 eV per atom
1.0
0.000 3.008 10.462
2.485 0.000 10.462
2.485 3.008 0.000
Pm U Ga
2 2 2
direct
0.127 0.127 0.873 Pm
0.873 0.873 0.127 Pm
0.290 0.710 0.290 U
0.710 0.290 0.710 U
0.250 0.250 0.250 Ga
0.750 0.750 0.750 Ga

Record 11
GGA-PBE Pu3AsH3, relaxed; SG = R-3 (148); E_tot = -8.6601 eV per atom
1.0
3.333 1.925 6.466
-3.333 1.925 6.466
0.000 -3.849 6.466
Pu As H
6 2 6
direct
0.092 0.404 0.777 Pu
0.223 0.908 0.596 Pu
0.404 0.777 0.092 Pu
0.596 0.223 0.908 Pu
0.777 0.092 0.404 Pu
0.908 0.596 0.223 Pu
0.333 0.333 0.333 As
0.667 0.667 0.667 As
0.126 0.769 0.480 H
0.231 0.520 0.874 H
0.480 0.126 0.769 H
0.520 0.874 0.231 H
0.769 0.480 0.126 H
0.874 0.231 0.520 H

Record 12
GGA-PBE Hf3Ir8, relaxed; SG = P-1 (2); calculated formation energy = -0.327 eV per atom
1.0
4.824 0.000 0.000
-0.126 5.690 0.000
-2.366 -0.918 7.042
Hf Ir
3 8
direct
0.000 0.000 0.000 Hf
0.000 0.000 0.500 Hf
0.500 0.500 0.000 Hf
0.075 0.440 0.197 Ir
0.278 0.519 0.576 Ir
0.403 0.834 0.349 Ir
0.409 0.891 0.826 Ir
0.591 0.109 0.174 Ir
0.597 0.166 0.651 Ir
0.722 0.481 0.424 Ir
0.925 0.560 0.803 Ir

Number 1: V 21.68 A^3/atom. Number 2: V 15.46 A^3/atom. Number 3: V 14.11 A^3/atom. Number 4: V 38.02 A^3/atom. Number 5: V 25.65 A^3/atom. Number 6: V 12.83 A^3/atom. Number 7: V 16.63 A^3/atom. Number 8: V 18.50 A^3/atom. Number 9: V 34.39 A^3/atom. Number 10: V 26.06 A^3/atom. Number 11: V 17.78 A^3/atom. Number 12: V 17.57 A^3/atom.